Record 1
Ge3WN | PBE | optimized geometry

Values from the calculation:
**E_form (uncorrected)**: 0.9887 eV per atom
**Excess energy over the best structure of this formula in the dataset**: 0 meV per atom

Geometry as POSCAR:
```
Ge3WN
1.0
4.2059 0.0000 0.0000
0.0000 4.2059 0.0000
0.0000 0.0000 4.2059
N W Ge
1 1 3
Direct
0.0000 0.0000 0.0000
0.5000 0.5000 0.5000
0.0000 0.5000 0.0000
0.5000 0.0000 0.0000
0.0000 0.0000 0.5000
```

Record 2
TbGe2Br8 | PBE | optimized geometry

Values from the calculation:
**E_form (uncorrected)**: -0.9307 eV per atom

Geometry as POSCAR:
```
TbGe2Br8
1.0
-4.9791 -3.6501 -4.0171
3.7987 -7.1939 -1.2225
-3.9676 -4.3054 5.7791
Tb Br Ge
1 8 2
Direct
0.0000 0.0000 0.0000
0.7190 0.2069 0.2069
0.2040 0.2657 0.9130
0.8348 0.6221 0.6221
0.2810 0.7931 0.7931
0.7960 0.7343 0.0870
0.1652 0.3779 0.3779
0.2040 0.9130 0.2657
0.7960 0.0870 0.7343
0.6498 0.8131 0.8131
0.3502 0.1869 0.1869
```

Record 3
KInGa2Cl8 | PBE | optimized geometry

Values from the calculation:
**E_form (uncorrected)**: -1.2607 eV per atom

Geometry as POSCAR:
```
KInGa2Cl8
1.0
7.3415 0.0000 0.0000
-3.6707 6.3579 0.0000
0.0000 0.0000 9.8688
Cl In Ga K
8 1 2 1
Direct
0.1700 0.8300 0.7610
0.3400 0.1700 0.2390
0.6600 0.8300 0.7610
0.3333 0.6667 0.4628
0.8300 0.6600 0.2390
0.1700 0.3400 0.7610
0.6667 0.3333 0.5372
0.8300 0.1700 0.2390
0.0000 0.0000 0.5000
0.6667 0.3333 0.3174
0.3333 0.6667 0.6826
0.0000 0.0000 0.0000
```

Number 2 is which compound?
TbGe2Br8